# Ba2Sb7Pd12

An optimized crystal structure of Ba2Sb7Pd12 (PBE, the Alexandria database).

The structure belongs to space group P-3 (No. 147); the cell edges are 10.6845, 10.6845 and 4.4636 Å and the angles 90.00°, 90.00° and 120.00°. The distinct sites, in fractional coordinates, are Ba at (0.3333, 0.6667, 0.2393), Sb at (0.0000, 0.0000, 0.5000), Sb at (0.1012, 0.7047, 0.7321), Pd at (0.0578, 0.4327, 0.7592) and Pd at (0.1226, 0.2521, 0.2126).

The energy comes out at -107.49 eV/f.u. The calculation puts the uncorrected formation energy at -13.696 kcal/mol of atoms.